(1)
! BaNpSe2O (PBE-GGA, relaxed); values from VASP
&SYSTEM
  ibrav = 0, nat = 10, ntyp = 4
/
ATOMIC_SPECIES
Ba 137.33 Ba.upf
Np 237.00 Np.upf
Se 78.96 Se.upf
O 16.00 O.upf
ATOMIC_POSITIONS angstrom
Ba 1.0652 4.2100 2.7531
Ba 3.1956 0.3523 6.0344
Np 1.0652 3.6709 7.1977
Np 3.1956 0.8914 1.5898
Se 3.1956 4.5069 5.4740
Se 3.1956 5.8110 0.4924
Se 1.0652 0.0554 3.3135
Se 1.0652 -1.2487 8.2952
O 1.0652 1.8709 6.4588
O 3.1956 2.6914 2.3287
CELL_PARAMETERS angstrom
4.2608 0.0000 0.0000
0.0000 7.4992 0.2353
0.0000 -2.9369 8.5522
! Energy: -73.92 eV for the cell shown
! Formation energy from raw total energies: -2034 meV per atom
! Spin magnetization: 0.60 μB per atom


(2)
! SbIrPt3 (PBE-GGA, relaxed); values from VASP
&SYSTEM
  ibrav = 0, nat = 5, ntyp = 3
/
ATOMIC_SPECIES
Sb 121.76 Sb.upf
Ir 192.22 Ir.upf
Pt 195.08 Pt.upf
ATOMIC_POSITIONS angstrom
Sb 2.4286 2.4286 2.4286
Ir 0.0000 0.0000 0.0000
Pt 0.0000 2.4286 0.0000
Pt 0.0000 0.0000 2.4286
Pt 2.4286 0.0000 0.0000
CELL_PARAMETERS angstrom
4.8572 0.0000 0.0000
0.0000 4.8572 0.0000
0.0000 0.0000 4.8572
! Energy: -25.74 eV for the cell shown
! Formation energy from raw total energies: 1074 meV per atom
! Spin magnetization: 0.19 μB per atom


(3)
! VCu2NiH (PBE-GGA, relaxed); values from VASP
&SYSTEM
  ibrav = 0, nat = 5, ntyp = 4
/
ATOMIC_SPECIES
Ni 58.69 Ni.upf
H 1.01 H.upf
Cu 63.55 Cu.upf
V 50.94 V.upf
ATOMIC_POSITIONS angstrom
Ni 1.8331 1.8331 1.9215
H 0.0000 0.0000 0.0000
Cu 0.0000 1.8331 0.0000
Cu 1.8331 0.0000 0.0000
V 0.0000 0.0000 1.9215
CELL_PARAMETERS angstrom
3.6662 0.0000 0.0000
0.0000 3.6662 0.0000
0.0000 0.0000 3.8431
! Energy: -25.68 eV for the cell shown
! Spin magnetization: 0.42 μB per atom


(4)
! Co2ReTe (PBE-GGA, relaxed); values from VASP
&SYSTEM
  ibrav = 0, nat = 4, ntyp = 3
/
ATOMIC_SPECIES
Co 58.93 Co.upf
Re 186.21 Re.upf
Te 127.60 Te.upf
ATOMIC_POSITIONS angstrom
Co -16.4431 -14.4347 10.9855
Co -8.3125 -7.2972 5.5535
Re -4.1259 -3.6220 2.7565
Te -12.3778 -10.8659 8.2695
CELL_PARAMETERS angstrom
-5.8039 -3.6208 4.8102
-6.3990 -4.8911 2.2505
-4.3009 -5.9760 3.9653
! Energy: -27.53 eV for the cell shown
! Formation energy from raw total energies: 568 meV per atom
! Spin magnetization: 0.59 μB per atom


(5)
! Na4Zr3ScSe8 (PBE-GGA, relaxed); values from VASP
&SYSTEM
  ibrav = 0, nat = 16, ntyp = 4
/
ATOMIC_SPECIES
Na 22.99 Na.upf
Zr 91.22 Zr.upf
Sc 44.96 Sc.upf
Se 78.96 Se.upf
ATOMIC_POSITIONS angstrom
Na 3.8646 0.0000 0.0000
Na 1.9323 -1.9306 2.7346
Na 0.0000 0.0000 0.0000
Na -1.9323 -1.9306 2.7346
Zr 3.8646 4.2068 0.2354
Zr 1.9323 2.2762 2.9700
Zr -1.9323 2.2762 2.9700
Sc 0.0000 4.2068 0.2354
Se -1.9412 2.2967 5.7227
Se 0.0000 4.2361 2.9758
Se 0.0000 0.3034 2.9428
Se 1.9412 2.2967 5.7227
Se 1.9234 2.2556 0.2172
Se 3.8646 4.2490 2.9971
Se 3.8646 0.3162 2.9641
Se 5.8058 2.2556 0.2172
CELL_PARAMETERS angstrom
7.7292 0.0000 0.0000
0.0000 8.4136 0.4708
-3.8646 -3.8613 5.4691
! Energy: -87.05 eV for the cell shown
! Formation energy from raw total energies: -1370 meV per atom
! Spin magnetization: 0.00 μB per atom


(6)
! PmNd3Tl (PBE-GGA, relaxed); values from VASP
&SYSTEM
  ibrav = 0, nat = 5, ntyp = 3
/
ATOMIC_SPECIES
Pm 145.00 Pm.upf
Nd 144.24 Nd.upf
Tl 204.38 Tl.upf
ATOMIC_POSITIONS angstrom
Pm 2.5757 2.2552 3.0028
Nd 3.8393 -0.0807 0.4981
Nd 0.4272 3.8163 0.4981
Nd -0.0922 -0.0807 3.8703
Tl 0.7992 0.6998 0.9318
CELL_PARAMETERS angstrom
6.0801 -1.5613 -0.8678
-0.7443 6.2331 -0.8678
-1.7832 -1.5613 5.8772
! Energy: -19.74 eV for the cell shown
! Spin magnetization: 0.33 μB per atom
! Polymorph energy (0 for the lowest one): 0.4701 eV/atom
! DFT formation energy: 0.335 eV/atom